(1)
Below is a relaxed structure of CuTeSeBr, with properties calculated at the GGA-PBE level.

Results
- V: 479.4 Å³/cell
- Energy relative to the elements, uncorrected: -0.223 eV/atom

Unit cell a=8.141 b=5.097 c=12.691 alpha=90.00 beta=114.45 gamma=90.00
Space group P2_1/c (No. 14)
Asymmetric unit:
Cu 0.182 0.135 0.248 x4
Te 0.287 0.017 0.647 x4
Se 0.409 0.698 0.834 x4
Br 0.073 0.156 0.881 x4

(2)
Below is a relaxed structure of Ti2MnZn2, with properties calculated at the GGA-PBE level.

Results
- Energy relative to the elements: -98 meV per atom
- V: 153.9 Å³/cell
- D(E_F): 9.796 states/eV per cell

Unit cell a=2.952 b=17.933 c=2.908 alpha=90.00 beta=90.00 gamma=90.00
Space group Cmmm (No. 65)
Asymmetric unit:
Ti 0.000 0.081 0.000 x4
Mn 0.000 0.500 0.500 x2
Zn 0.000 0.310 0.500 x4

(3)
Below is a relaxed structure of Be2MoAu, with properties calculated at the GGA-PBE level.

Results
- Energy relative to the elements: 153 meV per atom
- V: 101.6 Å³/cell
- D(E_F): 4.181 states/eV per cell

Unit cell a=2.729 b=4.135 c=9.004 alpha=90.00 beta=90.00 gamma=90.00
Space group Imm2 (No. 44)
Asymmetric unit:
Be 0.000 0.000 0.000 x2
Be 0.000 0.500 0.288 x2
Mo 0.000 0.500 0.773 x2
Au 0.000 0.000 0.551 x2

(4)
Below is a relaxed structure of GdYMnCd, with properties calculated at the GGA-PBE level.

Results
- Energy relative to the elements: 4 meV per atom
- V: 400.7 Å³/cell
- D(E_F): 23.450 states/eV per cell

Unit cell a=7.373 b=7.373 c=7.373 alpha=90.00 beta=90.00 gamma=90.00
Space group F-43m (No. 216)
Asymmetric unit:
Gd 0.000 0.000 0.000 x4
Y 0.000 0.000 0.500 x4
Mn 0.250 0.250 0.750 x4
Cd 0.250 0.250 0.250 x4